VASP calculation (GGA+U) on an optimized crystal structure of VH6O3F3.

Unit cell a=6.204 b=6.586 c=6.435 alpha=114.78 beta=111.85 gamma=100.04
Sites, in units of the cell vectors:
V 0.702 0.764 0.874
H 0.865 0.215 0.550
H 0.311 0.138 0.020
H 0.026 0.665 0.475
H 0.994 0.532 0.387
H 0.922 0.228 0.682
H 0.288 0.091 0.882
O 0.584 0.730 0.552
O 0.524 0.503 0.538
O 0.496 0.776 0.020
F 0.499 0.538 0.978
F 0.990 0.744 0.033
F 0.814 0.088 0.021

## Properties
As for the total energy: -56.69 eV/cell.

=====

VASP calculation (GGA+U) on an optimized crystal structure of VHOF2.

Unit cell a=3.963 b=3.963 c=3.649 alpha=90.00 beta=90.00 gamma=90.00
Sites, in units of the cell vectors:
H 0.500 0.500 0.500
F 0.000 0.500 0.000
F 0.500 0.000 0.000
O 0.000 0.000 0.500
V 0.000 0.000 0.000

## Properties
As for the total energy: -26.77 eV/cell. Its density of states at the Fermi level is 0.484 states/eV/cell.

=====

VASP calculation (GGA+U) on an optimized crystal structure of VH6O3F3.

Unit cell a=5.082 b=5.082 c=5.082 alpha=90.38 beta=90.38 gamma=90.38
Sites, in units of the cell vectors:
V 0.001 0.001 0.001
H 0.549 0.778 0.185
H 0.185 0.549 0.778
H 0.778 0.549 0.185
H 0.549 0.185 0.778
H 0.185 0.778 0.549
H 0.778 0.185 0.549
O 0.135 0.734 0.734
O 0.734 0.734 0.135
O 0.734 0.135 0.734
F 0.259 0.866 0.259
F 0.259 0.259 0.866
F 0.866 0.259 0.259

## Properties
As for the total energy: -69.40 eV/cell. Its density of states at the Fermi level is 0.000 states/eV/cell.

=====

VASP calculation (GGA+U) on an optimized crystal structure of VHOF.

Unit cell a=3.320 b=3.311 c=5.146 alpha=88.72 beta=71.18 gamma=59.90
Sites, in units of the cell vectors:
V 0.510 0.635 0.345
H 0.580 0.092 0.748
O 0.716 0.025 0.543
F 0.323 0.236 0.118

## Properties
As for the total energy: -25.02 eV/cell. Its density of states at the Fermi level is 0.000 states/eV/cell.

=====

VASP calculation (GGA+U) on an optimized crystal structure of VH6O3F3.

Unit cell a=6.361 b=7.445 c=7.258 alpha=126.34 beta=124.51 gamma=76.51
Sites, in units of the cell vectors:
V 0.886 0.128 0.000
H 0.466 0.862 0.931
H 0.039 0.839 0.447
H 0.547 0.389 0.623
H 0.588 0.410 0.557
H 0.549 0.929 0.084
H 0.938 0.758 0.397
O 0.674 0.293 0.004
O 0.165 0.529 0.856
O 0.267 0.665 0.105
F 0.731 0.854 0.704
F 0.108 0.225 0.996
F 0.042 0.134 0.296

## Properties
As for the total energy: -59.72 eV/cell. Its density of states at the Fermi level is 0.000 states/eV/cell.

=====

VASP calculation (GGA+U) on an optimized crystal structure of VHOF2.

Unit cell a=3.790 b=3.790 c=2.833 alpha=90.00 beta=90.00 gamma=90.00
Sites, in units of the cell vectors:
H 0.000 0.000 0.000
F 0.000 0.500 0.000
F 0.500 0.000 0.000
O 0.000 0.000 0.500
V 0.500 0.500 0.500

## Properties
As for the total energy: -23.44 eV/cell. Its density of states at the Fermi level is 1.684 states/eV/cell.

=====

VASP calculation (GGA+U) on an optimized crystal structure of HW2OF.

Unit cell a=4.874 b=2.555 c=4.874 alpha=90.00 beta=90.00 gamma=90.00
Sites, in units of the cell vectors:
H 0.000 0.500 0.000
O 0.000 0.000 0.000
W 0.000 0.000 0.500
W 0.500 0.000 0.000
F 0.500 0.500 0.500

## Properties
As for the total energy: -21.04 eV/cell. Its density of states at the Fermi level is 1.695 states/eV/cell.

=====

Repeat the first record exactly.
VASP calculation (GGA+U) on an optimized crystal structure of VH6O3F3.

Unit cell a=6.204 b=6.586 c=6.435 alpha=114.78 beta=111.85 gamma=100.04
Sites, in units of the cell vectors:
V 0.702 0.764 0.874
H 0.865 0.215 0.550
H 0.311 0.138 0.020
H 0.026 0.665 0.475
H 0.994 0.532 0.387
H 0.922 0.228 0.682
H 0.288 0.091 0.882
O 0.584 0.730 0.552
O 0.524 0.503 0.538
O 0.496 0.776 0.020
F 0.499 0.538 0.978
F 0.990 0.744 0.033
F 0.814 0.088 0.021

## Properties
As for the total energy: -56.69 eV/cell.